(1)
VASP calculation (PBE) on Mn2W after structural relaxation.

Properties
SG: I4_1/amd (141)
Energy relative to the lowest polymorph listed for this composition, meV/atom: 584
Energy of formation from the pure elements, eV/atom: 0.502

Geometry as extended XYZ:
```
6
Lattice="7.799 1.846 5.014 4.752 1.993 7.925 -6.024 -3.981 -6.102" Properties=species:S:1:pos:R:3 pbc="T T T"
W 0.000 0.000 0.000
W 4.025 -0.108 2.691
Mn 1.539 -0.328 3.154
Mn 3.465 0.261 5.139
Mn 5.312 1.625 5.477
Mn 7.238 2.214 7.462
```

***

(2)
VASP calculation (PBE) on KGeAu3 after structural relaxation.

Properties
SG: Pm-3m (221)
Energy of formation from the pure elements, eV/atom: -0.156

Geometry as extended XYZ:
```
5
Lattice="5.056 0.000 0.000 0.000 5.056 0.000 0.000 0.000 5.056" Properties=species:S:1:pos:R:3 pbc="T T T"
Au 0.000 2.528 0.000
Au 0.000 0.000 2.528
Au 2.528 0.000 0.000
K 2.528 2.528 2.528
Ge 0.000 0.000 0.000
```

***

(3)
VASP calculation (PBE) on SrGe2F2 after structural relaxation.

Properties
SG: P4/mbm (127)
Energy relative to the lowest polymorph listed for this composition, meV/atom: 0

Geometry as extended XYZ:
```
10
Lattice="7.702 0.000 0.000 0.000 7.702 0.000 0.000 0.000 4.395" Properties=species:S:1:pos:R:3 pbc="T T T"
F 1.094 2.758 2.198
F 6.609 4.945 2.198
F 2.758 6.609 2.198
F 4.945 1.094 2.198
Sr 3.851 3.851 0.000
Sr 0.000 0.000 0.000
Ge 0.851 3.000 0.000
Ge 4.703 0.851 0.000
Ge 6.851 4.703 0.000
Ge 3.000 6.851 0.000
```

***

(4)
VASP calculation (PBE) on FePCSe after structural relaxation.

Properties
SG: Cm (8)
Energy relative to the lowest polymorph listed for this composition, meV/atom: 0

Geometry as extended XYZ:
```
8
Lattice="-4.272 -2.952 -2.242 1.891 -2.181 -0.731 1.221 -1.258 6.914" Properties=species:S:1:pos:R:3 pbc="T T T"
C -0.916 -2.076 3.826
C -0.581 -2.537 0.004
P -0.836 -1.046 0.958
P 0.720 -2.765 4.050
Se -2.114 -3.596 -0.802
Se -2.448 -3.134 3.020
Fe 0.270 -0.719 2.843
Fe 1.826 -2.438 5.935
```

***

(5)
VASP calculation (PBE) on SrEr4S5 after structural relaxation.

Properties
SG: Immm (71)
DFT total energy, eV per atom: -6.01

Geometry as extended XYZ:
```
10
Lattice="-1.565 3.081 1.887 -5.065 -2.208 -0.595 4.364 -5.156 7.930" Properties=species:S:1:pos:R:3 pbc="T T T"
Er -3.099 -0.532 2.407
Er 0.834 -3.751 6.815
Er 0.431 -1.938 3.522
Er -2.696 -2.345 5.700
Sr 0.000 0.000 0.000
S -1.710 -4.800 6.419
S -0.555 0.517 2.803
S -2.115 -2.980 3.111
S -0.150 -1.303 6.111
S -2.532 -1.104 -0.297
```

***

(6)
VASP calculation (PBE) on LiCrPb2 after structural relaxation.

Properties
SG: I-4m2 (119)
Energy of formation from the pure elements, eV/atom: 0.222

Geometry as extended XYZ:
```
4
Lattice="5.823 0.016 0.000 2.638 5.192 0.000 -4.230 -2.604 3.039" Properties=species:S:1:pos:R:3 pbc="T T T"
Cr 4.230 2.604 0.000
Pb 1.319 2.596 1.519
Pb 0.000 0.000 0.000
Li 2.912 0.008 1.519
```

***

(7)
VASP calculation (PBE) on La2GeAs4Pd3 after structural relaxation.

Properties
SG: P-4m2 (115)
Energy of formation from the pure elements, eV/atom: -0.784

Geometry as extended XYZ:
```
10
Lattice="-3.610 -0.274 -2.896 0.704 -4.561 -0.446 -5.856 -1.633 7.455" Properties=species:S:1:pos:R:3 pbc="T T T"
La -4.074 -3.515 5.412
La -3.234 -0.536 0.372
As -1.825 -2.887 2.549
As 0.000 0.000 0.000
As -1.453 -2.418 -1.671
As -5.483 -1.163 3.235
Pd -2.928 -0.816 3.727
Pd -0.317 -2.467 0.629
Pd -6.992 -1.583 5.155
Ge -4.381 -3.234 2.056
```

***

(8)
VASP calculation (PBE) on In4HgSe7 after structural relaxation.

Properties
SG: Pmn2_1 (31)
DFT total energy, eV per atom: -3.42

Geometry as extended XYZ:
```
24
Lattice="6.911 0.000 0.000 0.000 7.227 0.000 0.000 0.000 16.740" Properties=species:S:1:pos:R:3 pbc="T T T"
Se 2.659 5.817 0.000
Se 6.470 1.298 12.720
Se 3.078 2.328 6.517
Se 6.197 4.724 6.136
Se 3.078 2.328 10.222
Se 6.197 4.724 10.603
Se 2.742 2.504 14.506
Se 6.470 1.298 4.020
Se 6.533 4.900 1.853
Se 6.114 1.410 8.370
Se 6.533 4.900 14.887
Se 3.015 5.930 12.389
Se 3.015 5.930 4.350
Se 2.742 2.504 2.233
In 3.995 4.869 2.102
In 0.351 5.977 12.679
In 3.806 1.250 4.309
In 3.806 1.250 12.431
In 0.540 2.359 10.472
In 0.351 5.977 4.061
In 0.540 2.359 6.267
In 3.995 4.869 14.637
Hg 3.148 1.170 0.000
Hg 6.603 6.057 8.370
```

***

(9)
VASP calculation (PBE) on Ac5PmPr2 after structural relaxation.

Properties
SG: Pbam (55)
Energy relative to the lowest polymorph listed for this composition, meV/atom: 0
Energy of formation from the pure elements, eV/atom: 0.027

Geometry as extended XYZ:
```
16
Lattice="-3.222 2.207 3.932 -2.108 -7.077 2.245 11.835 -0.381 9.913" Properties=species:S:1:pos:R:3 pbc="T T T"
Ac -1.734 -4.190 4.837
Ac 0.911 -7.105 4.735
Ac 2.357 -0.749 6.258
Ac 8.238 -1.061 11.253
Ac 1.885 -3.564 3.546
Ac 4.147 -4.502 9.832
Ac 8.816 -0.353 7.423
Ac 0.000 0.000 0.000
Ac 7.842 -3.894 8.612
Ac 4.863 -3.729 6.079
Pr 1.271 -4.305 7.364
Pr 5.234 -0.946 8.726
Pr -0.658 -0.670 3.742
Pr 7.163 -4.581 12.347
Pm -1.054 -3.539 1.123
Pm 5.917 -0.190 4.956
```

***

(10)
VASP calculation (PBE) on La2Al4NiPd3 after structural relaxation.

Properties
SG: P-4m2 (115)
Energy of formation from the pure elements, eV/atom: -0.779

Geometry as extended XYZ:
```
10
Lattice="-2.231 2.347 -3.033 -2.216 -3.653 -1.197 -7.010 2.044 6.738" Properties=species:S:1:pos:R:3 pbc="T T T"
Pd -3.505 1.022 3.369
Pd -7.205 2.949 4.337
Pd -2.028 -1.558 0.286
Al -5.418 2.428 2.619
Al -2.223 -0.653 -2.115
Al -3.816 -1.037 2.004
Al 0.000 0.000 0.000
La -2.924 1.701 0.221
La -6.310 -0.310 4.402
Ni -5.729 0.369 1.254
```

***

(11)
VASP calculation (PBE) on ReBiTeN2 after structural relaxation.

Properties
SG: P4/mmm (123)
Energy relative to the lowest polymorph listed for this composition, meV/atom: 1489

Geometry as extended XYZ:
```
5
Lattice="4.235 0.000 0.000 0.000 4.235 0.000 0.000 0.000 6.734" Properties=species:S:1:pos:R:3 pbc="T T T"
Bi 0.000 0.000 0.000
Te 0.000 0.000 3.367
Re 2.117 2.117 3.367
N 0.000 2.117 0.000
N 2.117 0.000 0.000
```

***

(12)
VASP calculation (PBE) on Ti2IN after structural relaxation.

Properties
SG: I-42d (122)
DFT total energy, eV per atom: -6.93

Geometry as extended XYZ:
```
8
Lattice="-1.207 5.168 -0.082 -1.245 -0.209 5.155 3.957 3.711 3.838" Properties=species:S:1:pos:R:3 pbc="T T T"
I 0.000 0.000 0.000
I 0.762 5.679 3.146
N 0.743 2.991 5.765
N -1.226 2.479 2.536
Ti 0.246 3.418 1.564
Ti 0.994 7.151 6.606
Ti 1.877 4.614 5.492
Ti -0.106 2.156 4.160
```

***

(13)
VASP calculation (PBE) on Ag4ICl2F after structural relaxation.

Properties
SG: C2/c (15)
DFT total energy, eV per atom: -2.78

Geometry as extended XYZ:
```
16
Lattice="7.803 0.233 -0.083 0.227 7.803 -0.083 -4.033 -4.036 6.197" Properties=species:S:1:pos:R:3 pbc="T T T"
I 5.900 2.116 2.973
I 0.114 3.902 -0.042
Ag 0.346 0.197 3.451
Ag 0.290 3.829 2.992
Ag 6.229 6.382 0.269
Ag -1.976 2.060 6.090
Ag 3.707 0.171 3.038
Ag -2.232 -2.381 5.761
Ag 3.652 3.803 2.579
Ag 5.973 1.940 -0.060
F 1.999 2.000 3.015
F 3.770 -3.803 6.113
Cl 1.885 -1.902 3.057
Cl 3.902 0.116 -0.042
Cl -2.016 -2.018 3.098
Cl 4.015 4.018 -0.083
```

***

(14)
VASP calculation (PBE) on PuScGa6 after structural relaxation.

Properties
SG: P-6m2 (187)
Energy relative to the lowest polymorph listed for this composition, meV/atom: 28
Energy of formation from the pure elements, eV/atom: -0.414

Geometry as extended XYZ:
```
8
Lattice="-1.316 3.465 2.798 -5.080 0.688 -3.240 0.087 -3.790 4.734" Properties=species:S:1:pos:R:3 pbc="T T T"
Pu -2.724 -0.192 2.811
Ga -0.247 -1.489 1.727
Ga -2.998 -1.116 -0.028
Ga -5.271 2.016 -1.121
Ga -5.230 0.200 1.147
Ga -2.951 -3.169 2.536
Ga -2.837 1.687 0.431
Sc -0.343 -3.417 4.070
```

***

(15)
VASP calculation (PBE) on Ca2HgMoH after structural relaxation.

Properties
SG: P4/mmm (123)
DFT total energy, eV per atom: -2.66

Geometry as extended XYZ:
```
5
Lattice="-0.850 3.008 -4.675 0.340 -4.344 -2.857 -5.547 -0.771 0.513" Properties=species:S:1:pos:R:3 pbc="T T T"
H -3.028 -1.054 -3.510
Ca -0.425 1.504 -2.337
Ca -2.773 -0.386 0.256
Hg 0.170 -2.172 -1.428
Mo 0.000 0.000 0.000
```

***

(16)
VASP calculation (PBE) on Ca2InAu4 after structural relaxation.

Properties
SG: C2/m (12)
Energy relative to the lowest polymorph listed for this composition, meV/atom: 0
Energy of formation from the pure elements, eV/atom: -0.557

Geometry as extended XYZ:
```
7
Lattice="5.006 0.347 1.504 2.569 4.311 1.504 -0.055 -0.034 8.151" Properties=species:S:1:pos:R:3 pbc="T T T"
Au 7.254 4.461 5.761
Au 2.604 1.602 8.279
Au 0.265 0.163 5.398
Au 4.914 3.022 2.881
In 0.000 0.000 0.000
Ca 5.335 3.281 7.965
Ca 2.184 1.343 3.194
```

***

(17)
VASP calculation (PBE) on Y6Sc after structural relaxation.

Properties
SG: P4/nbm (125)
Energy of formation from the pure elements, eV/atom: 0.319

Geometry as extended XYZ:
```
14
Lattice="6.393 0.000 0.000 0.000 6.393 0.000 0.000 0.000 11.154" Properties=species:S:1:pos:R:3 pbc="T T T"
Y 3.197 3.197 9.638
Y 4.277 5.313 7.119
Y 4.277 1.080 4.035
Y 5.313 4.277 4.035
Y 0.000 0.000 1.516
Y 1.080 2.116 4.035
Y 1.080 4.277 7.119
Y 3.197 3.197 1.516
Y 0.000 0.000 9.638
Y 2.116 1.080 7.119
Y 2.116 5.313 4.035
Y 5.313 2.116 7.119
Sc 0.000 3.197 0.000
Sc 3.197 0.000 0.000
```

***

(18)
VASP calculation (PBE) on PuThSbPd after structural relaxation.

Properties
SG: F-43m (216)
DFT total energy, eV per atom: -8.29

Geometry as extended XYZ:
```
4
Lattice="-4.783 -2.197 0.076 -0.849 -4.359 2.826 -2.930 0.224 4.368" Properties=species:S:1:pos:R:3 pbc="T T T"
Pd -4.281 -3.166 3.635
Pu -6.422 -4.750 5.453
Th -2.141 -1.583 1.818
Sb 0.000 0.000 0.000
```

***

(19)
VASP calculation (PBE) on DyTm2In4 after structural relaxation.

Properties
SG: I4/mmm (139)
Energy of formation from the pure elements, eV/atom: -0.310

Geometry as extended XYZ:
```
7
Lattice="6.022 0.052 -2.088 -2.987 5.184 -2.199 0.030 -0.052 6.374" Properties=species:S:1:pos:R:3 pbc="T T T"
In 0.015 -0.026 3.187
In 3.011 0.026 -1.044
In -1.493 2.592 -1.099
In 1.533 2.592 1.044
Tm 3.026 0.000 2.143
Tm 1.518 2.618 -2.143
Dy 0.000 0.000 0.000
```

***

(20)
VASP calculation (PBE) on Tb3GaSi2Pt9 after structural relaxation.

Properties
SG: P-3m1 (164)
DFT total energy, eV per atom: -6.23

Geometry as extended XYZ:
```
15
Lattice="-1.984 3.028 5.195 -3.675 -0.187 -5.153 -3.802 -7.616 2.986" Properties=species:S:1:pos:R:3 pbc="T T T"
Tb -5.865 -4.631 0.459
Tb -3.596 -0.143 2.569
Tb 0.000 0.000 0.000
Pt -5.624 -0.117 0.124
Pt -7.068 -3.035 2.928
Pt -2.392 -1.740 0.100
Pt -0.992 1.514 2.598
Pt -1.837 -0.093 -2.577
Pt -3.836 -4.657 2.904
Pt -4.970 -2.928 5.871
Pt -2.829 1.421 0.021
Pt -4.491 -1.846 -2.843
Ga -1.901 -3.808 1.493
Si -3.801 -0.497 -1.162
Si -5.660 -4.278 4.190
```

***

(21)
VASP calculation (PBE) on KTa2Ir after structural relaxation.

Properties
SG: P4/mmm (123)
Energy relative to the lowest polymorph listed for this composition, meV/atom: 942
Energy of formation from the pure elements, eV/atom: 1.271

Geometry as extended XYZ:
```
4
Lattice="-3.672 -0.701 -2.414 2.310 -1.767 -3.001 -0.486 -3.730 1.822" Properties=species:S:1:pos:R:3 pbc="T T T"
K -2.079 -2.215 -0.296
Ta 0.000 0.000 0.000
Ta 0.912 -2.749 -0.590
Ir -0.681 -1.234 -2.708
```

***

(22)
VASP calculation (PBE) on Tm2SbI3 after structural relaxation.

Properties
SG: C2/m (12)
DFT total energy, eV per atom: -4.05

Geometry as extended XYZ:
```
12
Lattice="-0.569 4.029 -1.492 -5.622 4.625 8.337 9.201 5.220 4.293" Properties=species:S:1:pos:R:3 pbc="T T T"
I -2.588 9.056 6.556
I -1.932 2.924 2.338
I 2.561 3.682 2.670
I 4.942 10.951 8.801
I 5.598 4.819 4.583
I 0.448 10.193 8.468
Tm -1.654 4.027 5.210
Tm 0.085 7.392 7.336
Tm 2.924 6.483 3.802
Tm 4.664 9.847 5.928
Sb 0.017 6.333 4.504
Sb 2.992 7.542 6.635
```

***

(23)
VASP calculation (PBE) on Rb2AgAs2O6 after structural relaxation.

Properties
SG: R-3m (166)
DFT total energy, eV per atom: -5.15

Geometry as extended XYZ:
```
11
Lattice="6.136 0.000 0.000 3.068 5.314 0.000 3.068 1.771 6.211" Properties=species:S:1:pos:R:3 pbc="T T T"
Ag 0.000 0.000 0.000
O 4.680 2.702 4.727
O 6.136 5.225 4.727
O 7.593 2.702 4.727
O 4.680 4.384 1.484
O 7.593 4.384 1.484
O 6.136 1.861 1.484
As 6.136 3.543 1.809
As 6.136 3.543 4.402
Rb 3.068 1.771 2.147
Rb 9.204 5.314 4.065
```